The following is a DFT calculation (PBE with a Hubbard U) of a relaxed structure of AlCoNO2.

a b c (Å): 3.668 3.668 3.768
angles (deg): 90.00 90.00 90.00
Space group P4/mmm (No. 123)
Symmetry-distinct sites (fractional):
Al 0.000 0.000 0.000 (multiplicity 1)
Co 0.500 0.500 0.500 (multiplicity 1)
N 0.000 0.000 0.500 (multiplicity 1)
O 0.000 0.500 0.000 (multiplicity 2)

Properties
crystal system	tetragonal
magnetic moment	3.56	μB/f.u.
electronic total energy	-29.38	eV/cell